# ThTcC

ThTcC after structural relaxation (PBE, Alexandria via LeMat-Bulk).

The structure in POSCAR format:
```
ThTcC
1.0
3.723 0.000 0.000
0.000 3.838 0.000
-0.959 0.000 7.619
Th Tc C
2 2 2
Cartesian
0.448 0.959 2.496
2.317 2.878 5.123
0.373 0.959 7.072
2.392 2.878 0.547
0.447 0.959 5.063
2.318 2.878 2.555
```

Results
Total magnetization (μB/cell): 0.000
Distance to the lowest polymorph of the same formula (meV/atom): 54
Space-group type: P2_1/m, No. 11
ΔE_f (kcal/mol of atoms): -1.95
Energy (eV/atom): -9.088

# AcLaCu2Se4

AcLaCu2Se4 after structural relaxation (PBE, Alexandria via LeMat-Bulk).

The structure in POSCAR format:
```
AcLaCu2Se4
1.0
7.046 0.000 0.000
0.000 7.239 0.000
0.000 0.000 8.079
Ac La Cu Se
2 2 4 8
Cartesian
0.000 0.000 0.000
3.523 3.619 4.039
0.000 0.000 4.039
3.523 3.619 0.000
0.000 3.619 1.297
0.000 3.619 6.782
3.523 0.000 2.743
3.523 0.000 5.336
1.666 2.041 6.339
1.666 5.198 1.740
1.857 1.579 2.300
1.857 5.660 5.779
5.189 1.579 5.779
5.189 5.660 2.300
5.380 2.041 1.740
5.380 5.198 6.339
```

Results
Total magnetization (μB/cell): 0.000
Formation energy without anion corrections (eV per atom): -1.208
Space-group type: I222, No. 23
Energy (eV/atom): -5.104